(i)
A relaxed MgSc2Cd crystal. Source: OQMD, functional GGA-PBE.

POSCAR file:
```
MgSc2Cd
1.0
5.0370 0.0000 0.0000
-2.5185 4.3621 0.0000
0.0000 0.0000 9.0532
Mg Sc Cd
2 4 2
direct
0.0000 0.0000 0.0000
0.0000 0.0000 0.5000
0.3333 0.6667 0.0832
0.3333 0.6667 0.4168
0.6667 0.3333 0.5832
0.6667 0.3333 0.9168
0.3333 0.6667 0.7500
0.6667 0.3333 0.2500
```

Space group = No. 194

(ii)
A relaxed MgSc2Cd crystal. Source: OQMD, functional GGA-PBE.

POSCAR file:
```
MgSc2Cd
1.0
4.8941 0.0000 0.0000
0.0000 4.8941 0.0000
0.0000 0.0000 3.7336
Mg Sc Cd
1 2 1
direct
0.0000 0.0000 0.0000
0.0000 0.5000 0.5000
0.5000 0.0000 0.5000
0.5000 0.5000 0.0000
```

Space group = No. 123

(iii)
A relaxed MgSc2Cd crystal. Source: OQMD, functional GGA-PBE.

POSCAR file:
```
MgSc2Cd
1.0
4.8245 0.0000 0.0000
-2.4123 4.1782 0.0000
0.0000 0.0000 9.5642
Mg Sc Cd
2 4 2
direct
0.3333 0.6667 0.2500
0.6667 0.3333 0.7500
0.3333 0.6667 0.5912
0.3333 0.6667 0.9088
0.6667 0.3333 0.0912
0.6667 0.3333 0.4088
0.0000 0.0000 0.2500
0.0000 0.0000 0.7500
```

Space group = No. 194

Which is most stable, and by how much? (ii), by 254 meV/atom.

(i)
A relaxed MgZnCdSe3 crystal. Source: OQMD, functional GGA-PBE.

POSCAR file:
```
MgZnCdSe3
1.0
1.9023 -6.4186 0.0000
1.9023 6.4186 0.0000
0.0000 0.0000 11.1080
Mg Zn Cd Se
2 2 2 6
direct
0.2279 0.7721 0.7500
0.7721 0.2279 0.2500
0.4804 0.5196 0.2500
0.5196 0.4804 0.7500
0.0000 0.0000 0.0000
0.0000 0.0000 0.5000
0.1066 0.8934 0.2500
0.3550 0.6450 0.0824
0.3550 0.6450 0.4176
0.6450 0.3550 0.5824
0.6450 0.3550 0.9176
0.8934 0.1066 0.7500
```

Space group = No. 63

(ii)
A relaxed MgZnCdSe3 crystal. Source: OQMD, functional GGA-PBE.

POSCAR file:
```
MgZnCdSe3
1.0
1.8753 -6.7159 0.0000
1.8753 6.7159 0.0000
0.0000 0.0000 11.2905
Mg Zn Cd Se
2 2 2 6
direct
0.2104 0.7896 0.7500
0.7896 0.2104 0.2500
0.0000 0.0000 0.0000
0.0000 0.0000 0.5000
0.4895 0.5105 0.7500
0.5105 0.4895 0.2500
0.1485 0.8515 0.2500
0.3794 0.6206 0.0749
0.3794 0.6206 0.4251
0.6206 0.3794 0.5749
0.6206 0.3794 0.9251
0.8515 0.1485 0.7500
```

Space group = No. 63

Which is most stable, and by how much? (i), by 109 meV/atom.

(i)
A relaxed TbMg2Cd crystal. Source: OQMD, functional GGA-PBE.

POSCAR file:
```
TbMg2Cd
1.0
3.2473 -5.8222 0.0000
3.2473 5.8222 0.0000
0.0000 0.0000 5.0737
Tb Mg Cd
2 4 2
direct
0.1742 0.8258 0.7500
0.8258 0.1742 0.2500
0.1811 0.3330 0.7500
0.3330 0.1811 0.2500
0.6670 0.8189 0.7500
0.8189 0.6670 0.2500
0.3356 0.6644 0.2500
0.6644 0.3356 0.7500
```

Space group = No. 63

(ii)
A relaxed TbMg2Cd crystal. Source: OQMD, functional GGA-PBE.

POSCAR file:
```
TbMg2Cd
1.0
5.0862 0.0000 0.0000
0.0000 5.6127 3.3877
0.0000 -5.6127 3.3877
Tb Mg Cd
2 4 2
direct
0.2500 0.1524 0.8476
0.7500 0.8476 0.1524
0.2500 0.6379 0.8095
0.2500 0.6572 0.3318
0.7500 0.3318 0.6572
0.7500 0.8095 0.6379
0.2500 0.1662 0.3534
0.7500 0.3534 0.1662
```

Space group = No. 40

Which is most stable, and by how much? (i), by 16 meV/atom.

(i)
A relaxed TbMg2Cd crystal. Source: OQMD, functional GGA-PBE.

POSCAR file:
```
TbMg2Cd
1.0
-2.5630 2.5630 3.5956
2.5630 -2.5630 3.5956
2.5630 2.5630 -3.5956
Tb Mg Cd
1 2 1
direct
0.0000 0.0000 0.0000
0.2500 0.7500 0.5000
0.5000 0.5000 0.0000
0.7500 0.2500 0.5000
```

Space group = No. 119

(ii)
A relaxed TbMg2Cd crystal. Source: OQMD, functional GGA-PBE.

POSCAR file:
```
TbMg2Cd
1.0
4.9929 0.0000 0.0000
0.0000 3.9261 5.0210
0.0000 -3.9261 5.0210
Tb Mg Cd
2 4 2
direct
0.0000 0.2340 0.7660
0.0000 0.7660 0.2340
0.0000 0.7403 0.7403
0.5000 0.0132 0.4655
0.5000 0.4655 0.0132
0.5000 0.5048 0.5048
0.0000 0.2663 0.2663
0.5000 0.9609 0.9609
```

Space group = No. 38

Which is most stable, and by how much? (i), by 53 meV/atom.

(i)
A relaxed NpCdMo crystal. Source: OQMD, functional GGA-PBE.

POSCAR file:
```
NpCdMo
1.0
0.0000 3.2837 3.2837
3.2837 0.0000 3.2837
3.2837 3.2837 0.0000
Np Cd Mo
1 1 1
direct
0.0000 0.0000 0.0000
0.7500 0.7500 0.7500
0.2500 0.2500 0.2500
```

Space group = No. 216

(ii)
A relaxed NpCdMo crystal. Source: OQMD, functional GGA-PBE.

POSCAR file:
```
NpCdMo
1.0
0.0000 3.2415 3.2415
3.2415 0.0000 3.2415
3.2415 3.2415 0.0000
Np Cd Mo
1 1 1
direct
0.0000 0.0000 0.0000
0.5000 0.5000 0.5000
0.7500 0.7500 0.7500
```

Space group = No. 216

Which is most stable, and by how much? (ii), by 475 meV/atom.

(i)
A relaxed PaCdMo crystal. Source: OQMD, functional GGA-PBE.

POSCAR file:
```
PaCdMo
1.0
0.0000 3.3428 3.3428
3.3428 0.0000 3.3428
3.3428 3.3428 0.0000
Pa Cd Mo
1 1 1
direct
0.0000 0.0000 0.0000
0.7500 0.7500 0.7500
0.2500 0.2500 0.2500
```

Space group = No. 216

(ii)
A relaxed PaCdMo crystal. Source: OQMD, functional GGA-PBE.

POSCAR file:
```
PaCdMo
1.0
0.0000 3.2852 3.2852
3.2852 0.0000 3.2852
3.2852 3.2852 0.0000
Pa Cd Mo
1 1 1
direct
0.0000 0.0000 0.0000
0.5000 0.5000 0.5000
0.7500 0.7500 0.7500
```

Space group = No. 216

Which is most stable, and by how much? (ii), by 570 meV/atom.